Record 1
Sr2TiPbO5: optimized geometry, PBE-GGA.

The total energy is -6.820 eV per atom. As for the space group: Cmc2_1. Its magnetization is 0.0 Bohr magnetons per cell.

```
18
Lattice="3.268 0.000 0.000 -1.634 8.152 0.000 0.000 0.000 9.997" Properties=species:S:1:pos:R:3 pbc="T T T"
O 1.634 3.592 8.750
O 1.634 6.402 5.027
Sr 0.000 2.103 7.275
Sr 0.000 2.137 2.909
O 1.634 0.009 7.732
Ti 1.634 4.406 5.072
O 0.000 5.588 0.036
O 0.000 1.750 0.029
Pb 0.000 7.929 5.051
Ti 0.000 3.746 0.074
O 0.000 8.144 2.733
Sr 1.634 6.015 7.907
Pb 1.634 0.223 0.052
O 1.634 2.564 5.034
O 0.000 4.561 3.751
O 0.000 4.558 6.371
Sr 1.634 6.049 2.277
O 1.634 3.594 1.373
```

=====

Record 2
SrTlPbO4: optimized geometry, PBE-GGA.

The total energy is -5.317 eV per atom. As for the space group: Imma. Its magnetization is 0.0 Bohr magnetons per cell.

```
14
Lattice="-5.775 4.037 1.310 -0.719 -6.635 -2.330 2.316 1.189 6.544" Properties=species:S:1:pos:R:3 pbc="T T T"
O -1.113 1.327 2.048
O -3.634 3.090 2.620
Sr 1.132 -0.101 5.302
O -3.065 -2.737 3.477
O -3.973 0.150 1.629
O -0.544 -4.499 2.905
Sr -5.311 -1.309 0.222
O -0.206 -1.560 3.896
Tl -1.730 2.613 3.927
O -1.211 -2.075 1.056
Tl -2.888 2.018 0.655
O -2.968 0.666 4.469
Pb 0.798 -2.723 2.107
Pb -2.089 -0.705 2.762
```

=====

Record 3
SrTlPbO3: optimized geometry, PBE-GGA.

The total energy is -5.147 eV per atom. As for the space group: P2_1/m. Its magnetization is 0.0 Bohr magnetons per cell.

```
12
Lattice="3.520 0.000 0.000 0.000 7.043 0.791 0.000 -1.151 9.176" Properties=species:S:1:pos:R:3 pbc="T T T"
Sr 2.640 5.154 8.368
Pb 0.880 0.804 5.331
Sr 0.880 0.737 1.599
O 0.880 3.291 8.613
Pb 2.640 5.087 4.635
O 0.880 5.588 6.213
O 2.640 2.601 1.354
O 0.880 -0.135 8.202
Tl 0.880 4.293 1.734
O 2.640 6.026 1.765
O 2.640 0.304 3.754
Tl 2.640 1.598 8.233
```

=====

Record 4
Sr2TlPbO: optimized geometry, PBE-GGA.

The total energy is -3.021 eV per atom. As for the space group: P4/mmm. Its magnetization is 0.0 Bohr magnetons per cell.

```
5
Lattice="6.488 0.000 0.000 0.000 4.311 0.000 0.000 0.000 6.488" Properties=species:S:1:pos:R:3 pbc="T T T"
Tl 0.000 0.000 0.000
Sr 3.244 0.000 0.000
Pb 3.244 2.156 3.244
Sr 0.000 0.000 3.244
O 0.000 2.156 0.000
```

=====

Record 5
Sr2Tl3PbO8: optimized geometry, PBE-GGA.

The total energy is -5.166 eV per atom. As for the space group: R3m. Its magnetization is 0.0 Bohr magnetons per cell.

```
14
Lattice="-6.781 1.490 -0.864 -4.353 -0.211 5.473 -2.621 6.015 2.619" Properties=species:S:1:pos:R:3 pbc="T T T"
Tl -8.145 6.638 4.902
Tl -4.838 5.911 5.324
O -7.956 5.734 2.836
Sr -6.876 3.655 3.615
O -3.476 1.633 1.770
O -5.698 1.581 4.473
O -8.973 2.300 4.055
O -6.856 4.963 5.710
Tl -6.022 6.741 2.233
Pb -10.741 3.293 4.999
Sr -3.012 4.010 2.231
O -6.870 2.402 1.411
O -10.283 5.640 5.454
O -4.882 5.059 3.228
```

=====

Record 6
Sr2TlPbO6: optimized geometry, PBE-GGA.

The total energy is -5.443 eV per atom. As for the space group: P2_1/c. Its magnetization is 2.0 Bohr magnetons per cell.

```
20
Lattice="-1.617 2.835 5.017 -3.197 -4.947 1.765 6.869 -3.057 3.875" Properties=species:S:1:pos:R:3 pbc="T T T"
O 0.339 -3.997 4.441
O 0.028 -3.343 7.581
Sr 2.539 -3.562 6.462
Sr -0.485 -1.607 4.195
Tl 2.626 -0.111 4.446
O 4.404 -2.322 7.659
Pb -0.809 1.418 2.509
Pb 1.836 -4.002 2.820
Tl -1.599 -2.474 0.882
O -1.451 -0.953 6.423
Sr -1.347 -5.401 2.712
O 1.716 -1.172 6.216
O 2.026 -1.827 3.076
O 3.506 -4.217 4.233
O 2.655 -4.588 9.058
O -2.350 -2.848 2.998
O 0.560 0.736 4.089
Sr 3.401 0.231 7.945
O 1.495 -5.906 6.568
O -0.601 -0.582 1.599
```

=====

Record 7
Sr2TmPbO6: optimized geometry, PBE-GGA.

The total energy is -6.410 eV per atom. As for the space group: P2_1/c. Its magnetization is 2.2 Bohr magnetons per cell.

```
20
Lattice="5.957 0.000 -0.027 0.000 6.085 0.000 0.014 0.000 8.469" Properties=species:S:1:pos:R:3 pbc="T T T"
O 1.764 4.318 3.785
O 1.222 1.275 0.436
O 3.565 0.230 2.111
Sr 2.901 2.762 2.107
O 1.743 4.309 0.432
O 4.207 1.767 4.657
Sr 3.069 3.323 6.335
O 4.228 1.776 8.010
Sr 0.084 5.804 2.114
Pb 2.985 0.000 4.221
O 0.594 2.812 6.359
Sr 5.887 0.281 6.328
Tm 2.978 0.000 -0.013
Tm 0.007 3.042 4.235
O 2.405 5.854 6.332
Pb 0.000 3.042 0.000
O 5.377 3.272 2.084
O 4.749 4.809 8.006
O 4.728 4.818 4.653
O 1.242 1.266 3.789
```

=====

Record 8
Sr2TmPbO5: optimized geometry, PBE-GGA.

The total energy is -6.469 eV per atom. As for the space group: Cmc2_1. Its magnetization is 0.0 Bohr magnetons per cell.

```
18
Lattice="3.496 0.000 0.000 -1.748 7.413 0.000 0.000 0.000 11.762" Properties=species:S:1:pos:R:3 pbc="T T T"
Sr 1.748 5.471 2.639
Pb 0.000 7.342 5.570
O 1.748 3.262 1.529
O 1.748 6.151 6.191
O 0.000 3.936 4.408
O 0.000 4.151 7.410
Sr 0.000 1.948 2.840
O 0.000 1.262 0.310
O 0.000 7.305 9.235
Tm 1.748 3.875 5.882
Sr 0.000 1.942 8.521
O 1.748 1.831 6.682
Pb 1.748 0.071 11.451
O 1.748 0.108 3.353
Sr 1.748 5.465 8.721
Tm 0.000 3.538 0.001
O 0.000 5.582 0.801
O 1.748 3.476 10.289
```

=====

Record 9
Sr2UPbO6: optimized geometry, PBE-GGA.

The total energy is -7.321 eV per atom. As for the space group: P4mm. Its magnetization is 0.3 Bohr magnetons per cell.

```
10
Lattice="4.576 0.000 0.000 0.000 6.295 0.000 0.000 0.000 6.295" Properties=species:S:1:pos:R:3 pbc="T T T"
U 3.029 0.000 0.000
O 0.800 0.000 0.000
O 3.255 4.857 1.437
O 0.516 3.147 3.147
O 3.255 4.857 4.857
Sr 0.101 0.000 3.147
O 3.255 1.437 1.437
Sr 0.101 3.147 0.000
Pb 2.784 3.147 3.147
O 3.255 1.437 4.857
```

=====

magnetization of number 6 (Sr2TlPbO6)? 2.0 Bohr magnetons per cell